(1)
MnAlTl2Ir: relaxed, PBE-GGA.

Fermi-level density of states, states/eV per atom: 0.826
Uncorrected energy, eV/atom: -4.790

Cell and atoms, written as CIF:
```
data_MnAlTl2Ir
_chemical_formula_sum 'Mn1 Al1 Tl2 Ir1'
_cell_length_a 5.2969
_cell_length_b 5.2969
_cell_length_c 4.7401
_cell_angle_alpha 90.00
_cell_angle_beta 90.00
_cell_angle_gamma 90.00
_space_group_name_H-M_alt 'P 4/m m m'
_space_group_IT_number 123
_space_group_name_Hall '-P 4 2'
loop_
_atom_site_label
_atom_site_type_symbol
_atom_site_fract_x
_atom_site_fract_y
_atom_site_fract_z
Mn1 Mn 0.0000 0.0000 0.0000
Al1 Al 0.5000 0.5000 0.0000
Tl1 Tl 0.0000 0.5000 0.5000
Ir1 Ir 0.5000 0.5000 0.5000
```


(2)
Li3Cd2In4Ag2: relaxed, PBE-GGA.

Fermi-level density of states, states/eV per atom: 0.414
Uncorrected energy, eV/atom: -2.324

Cell and atoms, written as CIF:
```
data_Li3Cd2In4Ag2
_chemical_formula_sum 'Li3 Cd2 In4 Ag2'
_cell_length_a 4.7670
_cell_length_b 4.7670
_cell_length_c 11.9622
_cell_angle_alpha 90.00
_cell_angle_beta 90.00
_cell_angle_gamma 120.00
_space_group_name_H-M_alt 'P -3 m 1'
_space_group_IT_number 164
_space_group_name_Hall '-P 3 2"'
loop_
_atom_site_label
_atom_site_type_symbol
_atom_site_fract_x
_atom_site_fract_y
_atom_site_fract_z
Li1 Li 0.0000 0.0000 0.0000
Li2 Li 0.0000 0.0000 0.2799
Cd1 Cd 0.3333 0.6667 0.1778
In1 In 0.3333 0.6667 0.4288
In2 In 0.3333 0.6667 0.9097
Ag1 Ag 0.3333 0.6667 0.6673
```


(3)
NaPd2Pt: relaxed, PBE-GGA.

Polymorph energy (0 for the lowest one), eV per atom: 0.000
Fermi-level density of states, states/eV per atom: 0.936

Cell and atoms, written as CIF:
```
data_NaPd2Pt
_chemical_formula_sum 'Na1 Pd2 Pt1'
_cell_length_a 4.8040
_cell_length_b 4.8040
_cell_length_c 2.7980
_cell_angle_alpha 90.00
_cell_angle_beta 90.00
_cell_angle_gamma 90.00
_space_group_name_H-M_alt 'P 4/m m m'
_space_group_IT_number 123
_space_group_name_Hall '-P 4 2'
loop_
_atom_site_label
_atom_site_type_symbol
_atom_site_fract_x
_atom_site_fract_y
_atom_site_fract_z
Na1 Na 0.0000 0.0000 0.0000
Pd1 Pd 0.0000 0.5000 0.5000
Pt1 Pt 0.5000 0.5000 0.0000
```


(4)
Rb3Mg5F12: relaxed, PBE-GGA.

Fermi-level density of states, states/eV per atom: 0.061
Formation energy without anion corrections, eV per atom: -3.109

Cell and atoms, written as CIF:
```
data_Rb3Mg5F12
_chemical_formula_sum 'Rb24 Mg40 F96'
_cell_length_a 13.7411
_cell_length_b 13.7411
_cell_length_c 13.7411
_cell_angle_alpha 90.00
_cell_angle_beta 90.00
_cell_angle_gamma 90.00
_space_group_name_H-M_alt 'I a -3 d'
_space_group_IT_number 230
_space_group_name_Hall '-I 4bd 2c 3'
loop_
_atom_site_label
_atom_site_type_symbol
_atom_site_fract_x
_atom_site_fract_y
_atom_site_fract_z
Rb1 Rb 0.0000 0.2500 0.1250
Mg1 Mg 0.0000 0.0000 0.0000
Mg2 Mg 0.0000 0.2500 0.3750
F1 F 0.0362 0.1422 0.9604
```


(5)
MnGe: relaxed, PBE-GGA.

Fermi-level density of states, states/eV per atom: 0.703
Uncorrected energy, eV/atom: -6.880

Cell and atoms, written as CIF:
```
data_MnGe
_chemical_formula_sum 'Mn1 Ge1'
_cell_length_a 2.9200
_cell_length_b 2.9200
_cell_length_c 3.7119
_cell_angle_alpha 90.00
_cell_angle_beta 90.00
_cell_angle_gamma 120.00
_space_group_name_H-M_alt 'P -6 m 2'
_space_group_IT_number 187
_space_group_name_Hall 'P -6 2'
loop_
_atom_site_label
_atom_site_type_symbol
_atom_site_fract_x
_atom_site_fract_y
_atom_site_fract_z
Mn1 Mn 0.0000 0.0000 0.0000
Ge1 Ge 0.6667 0.3333 0.5000
```


(6)
Cd5Hg12Au3: relaxed, PBE-GGA.

Fermi-level density of states, states/eV per atom: 0.368
Uncorrected energy, eV/atom: -0.799

Cell and atoms, written as CIF:
```
data_Cd5Hg12Au3
_chemical_formula_sum 'Cd40 Hg96 Au24'
_cell_length_a 16.9502
_cell_length_b 16.9502
_cell_length_c 16.9502
_cell_angle_alpha 90.00
_cell_angle_beta 90.00
_cell_angle_gamma 90.00
_space_group_name_H-M_alt 'I a -3 d'
_space_group_IT_number 230
_space_group_name_Hall '-I 4bd 2c 3'
loop_
_atom_site_label
_atom_site_type_symbol
_atom_site_fract_x
_atom_site_fract_y
_atom_site_fract_z
Cd1 Cd 0.0000 0.0000 0.0000
Cd2 Cd 0.0000 0.2500 0.3750
Hg1 Hg 0.0162 0.0838 0.6516
Au1 Au 0.0000 0.2500 0.1250
```


(7)
Rb4TlGe3I12: relaxed, PBE-GGA.

Fermi-level density of states, states/eV per atom: 0.055
Formation energy without anion corrections, eV per atom: -0.770

Cell and atoms, written as CIF:
```
data_Rb4TlGe3I12
_chemical_formula_sum 'Rb8 Tl2 Ge6 I24'
_cell_length_a 12.0662
_cell_length_b 12.0662
_cell_length_c 12.0662
_cell_angle_alpha 90.00
_cell_angle_beta 90.00
_cell_angle_gamma 90.00
_space_group_name_H-M_alt 'I m -3 m'
_space_group_IT_number 229
_space_group_name_Hall '-I 4 2 3'
loop_
_atom_site_label
_atom_site_type_symbol
_atom_site_fract_x
_atom_site_fract_y
_atom_site_fract_z
Rb1 Rb 0.2500 0.2500 0.2500
Tl1 Tl 0.0000 0.0000 0.0000
Ge1 Ge 0.0000 0.0000 0.5000
I1 I 0.0000 0.0000 0.2599
I2 I 0.0000 0.2500 0.5000
```